(1)
AlTc: relaxed, PBE.

Geometry as POSCAR:
```
AlTc
1.0
2.860 0.000 0.000
-1.430 2.477 0.000
0.000 0.000 8.260
Tc Al
2 2
direct
0.000 0.000 0.000
0.000 0.000 0.500
0.333 0.667 0.250
0.667 0.333 0.750
```

Computed properties:
Total magnetic moment   0.0 μB/f.u.
Excess energy over the best structure of this formula in the dataset   3.44 kcal/mol of atoms
Energy of formation from the pure elements   -0.263 eV/atom
N(E_F)   1.900 states/eV/f.u.
Space group   No. 194


(2)
Pm3Mg4Pt4: relaxed, PBE.

Geometry as POSCAR:
```
Pm3Mg4Pt4
1.0
-1.139 -2.059 -3.290
2.952 -6.721 3.184
-7.486 2.993 3.206
Pm Mg Pt
3 4 4
direct
0.115 0.115 0.230
0.885 0.885 0.770
0.000 0.500 0.000
0.326 0.134 0.651
0.674 0.482 0.349
0.674 0.866 0.349
0.326 0.518 0.651
0.233 0.733 0.465
0.767 0.267 0.535
0.500 0.797 0.000
0.500 0.203 0.000
```

Computed properties:
Total magnetic moment   0.0 μB/f.u.
Energy of formation from the pure elements   -0.892 eV/atom
N(E_F)   6.972 states/eV/f.u.
Space group   No. 71


(3)
NaMgAg2Mo: relaxed, PBE.

Geometry as POSCAR:
```
NaMgAg2Mo
1.0
4.870 0.000 0.000
0.000 5.128 0.000
0.000 0.000 4.870
Na Mo Mg Ag
1 1 1 2
direct
0.000 0.000 0.000
0.000 0.500 0.000
0.500 0.500 0.500
0.000 0.000 0.500
0.500 0.000 0.000
```

Computed properties:
Total magnetic moment   3.5 μB/f.u.
Energy of formation from the pure elements   1.345 eV/atom
N(E_F)   3.149 states/eV/f.u.
Space group   No. 123


(4)
Nd2GdSe: relaxed, PBE.

Geometry as POSCAR:
```
Nd2GdSe
1.0
-1.235 -2.820 2.448
1.600 -3.589 -0.167
6.805 0.542 7.218
Gd Nd Se
1 2 1
direct
0.500 0.500 0.500
0.268 0.268 0.197
0.732 0.732 0.803
0.000 0.000 0.000
```

Computed properties:
Total magnetic moment   8.5 μB/f.u.
N(E_F)   6.517 states/eV/f.u.
Space group   No. 166
E_form (uncorrected)   -18.12 kcal/mol of atoms


(5)
Pr2ZnInPt6: relaxed, PBE.

Geometry as POSCAR:
```
Pr2ZnInPt6
1.0
-3.977 3.347 2.183
-5.464 -7.084 0.890
-4.722 -4.772 5.978
Pr Zn In Pt
2 1 1 6
direct
0.201 0.798 0.597
0.799 0.202 0.403
0.500 0.500 0.000
0.000 0.000 0.000
0.256 0.745 0.990
0.756 0.745 0.990
0.256 0.245 0.489
0.744 0.255 0.010
0.244 0.255 0.010
0.744 0.755 0.511
```

Computed properties:
Total magnetic moment   0.0 μB/f.u.
Energy of formation from the pure elements   -0.696 eV/atom
N(E_F)   3.597 states/eV/f.u.
Space group   No. 166


(6)
Sr5B3ClO9: relaxed, PBE.

Geometry as POSCAR:
```
Sr5B3ClO9
1.0
-6.200 -6.237 0.465
5.091 -0.248 7.181
-4.588 4.815 3.419
Sr B Cl O
10 6 2 18
direct
0.762 0.762 0.000
0.262 0.004 0.936
0.238 0.238 0.500
0.636 0.364 0.750
0.364 0.636 0.250
0.362 0.638 0.750
0.738 0.996 0.436
0.638 0.362 0.250
0.996 0.738 0.564
0.004 0.262 0.064
0.986 0.410 0.471
0.590 0.014 0.029
0.370 0.370 0.000
0.410 0.986 0.529
0.630 0.630 0.500
0.014 0.590 0.971
0.948 0.052 0.750
0.052 0.948 0.250
0.491 0.491 0.500
0.445 0.847 0.488
0.509 0.509 0.000
0.303 0.306 0.162
0.847 0.445 0.512
0.028 0.734 0.887
0.972 0.266 0.387
0.697 0.694 0.662
0.306 0.303 0.838
0.153 0.555 0.012
0.522 0.140 0.490
0.734 0.028 0.113
0.694 0.697 0.338
0.478 0.860 0.990
0.555 0.153 0.988
0.860 0.478 0.010
0.266 0.972 0.613
0.140 0.522 0.510
```

Computed properties:
Total magnetic moment   0.0 μB/f.u.
N(E_F)   0.000 states/eV/f.u.
Space group   No. 20
E_form (uncorrected)   -65.53 kcal/mol of atoms


(7)
CdReH2: relaxed, PBE.

Geometry as POSCAR:
```
CdReH2
1.0
-1.556 -0.176 3.606
-2.253 2.941 1.314
-3.869 -0.536 0.447
Re H Cd
1 2 1
direct
0.500 0.500 0.500
0.250 0.250 0.250
0.750 0.750 0.750
0.000 0.000 0.000
```

Computed properties:
Total magnetic moment   1.4 μB/f.u.
Excess energy over the best structure of this formula in the dataset   15.35 kcal/mol of atoms
N(E_F)   2.595 states/eV/f.u.
Space group   No. 225


(8)
KV2Zn: relaxed, PBE.

Geometry as POSCAR:
```
KV2Zn
1.0
4.293 0.000 0.000
0.000 4.293 0.000
2.146 2.146 10.217
Zn K V
2 2 4
direct
0.000 0.000 0.000
0.750 0.250 0.500
0.500 0.500 0.000
0.250 0.750 0.500
0.854 0.125 0.250
0.896 0.625 0.250
0.375 0.146 0.750
0.875 0.104 0.750
```

Computed properties:
Total magnetic moment   0.0 μB/f.u.
Energy of formation from the pure elements   1.203 eV/atom
N(E_F)   5.074 states/eV/f.u.
Space group   No. 122


(9)
Li6Ni7: relaxed, PBE.

Geometry as POSCAR:
```
Li6Ni7
1.0
-2.741 -3.730 1.090
-1.728 -2.771 -3.457
5.347 -7.048 -0.294
Li Ni
6 7
direct
0.835 0.835 0.494
0.165 0.165 0.506
0.652 0.652 0.043
0.348 0.348 0.957
0.553 0.553 0.342
0.447 0.447 0.658
0.000 0.000 0.000
0.908 0.414 0.771
0.414 0.908 0.771
0.908 0.908 0.771
0.092 0.092 0.229
0.092 0.586 0.229
0.586 0.092 0.229
```

Computed properties:
Total magnetic moment   1.8 μB/f.u.
Energy of formation from the pure elements   -0.038 eV/atom
N(E_F)   8.754 states/eV/f.u.
Space group   No. 166


(10)
KRb2SnAu: relaxed, PBE.

Geometry as POSCAR:
```
KRb2SnAu
1.0
-2.488 -0.771 6.165
-4.407 -4.462 -2.336
3.558 -4.004 0.935
K Au Sn Rb
1 1 1 2
direct
0.500 0.500 0.500
0.000 0.000 0.000
0.000 0.000 0.500
0.000 0.500 0.000
0.500 0.000 0.000
```

Computed properties:
Total magnetic moment   0.0 μB/f.u.
Energy of formation from the pure elements   -0.106 eV/atom
N(E_F)   2.870 states/eV/f.u.
Space group   No. 123


(11)
PuMgAgHg: relaxed, PBE.

Geometry as POSCAR:
```
PuMgAgHg
1.0
-1.358 -4.890 -0.449
3.564 -3.586 -0.628
1.006 -3.279 3.768
Mg Hg Ag Pu
1 1 1 1
direct
0.000 0.000 0.000
0.250 0.250 0.250
0.750 0.750 0.750
0.500 0.500 0.500
```

Computed properties:
Total magnetic moment   5.8 μB/f.u.
Energy of formation from the pure elements   -0.087 eV/atom
N(E_F)   14.079 states/eV/f.u.
Space group   No. 216


(12)
V3MoS4: relaxed, PBE.

Geometry as POSCAR:
```
V3MoS4
1.0
-2.533 -3.413 4.588
5.794 -2.590 1.272
1.163 4.598 4.063
V Mo S
6 2 8
direct
0.429 0.769 0.000
0.060 0.639 0.241
0.560 0.361 0.259
0.929 0.231 0.500
0.560 0.361 0.741
0.060 0.639 0.759
0.925 0.251 0.000
0.425 0.749 0.500
0.087 0.906 0.000
0.573 0.109 0.000
0.191 0.316 0.259
0.691 0.684 0.241
0.073 0.891 0.500
0.587 0.094 0.500
0.691 0.684 0.759
0.191 0.316 0.741
```

Computed properties:
Total magnetic moment   1.0 μB/f.u.
N(E_F)   7.800 states/eV/f.u.
Space group   No. 31
E_form (uncorrected)   -13.47 kcal/mol of atoms